Entry from Alexandria: Sc3AgOs after structural relaxation (PBE).

The structure in POSCAR format:
```
Sc3AgOs
1.0
5.0152 0.0000 0.0000
0.0000 5.0152 0.0000
0.0000 0.0000 5.0152
Sc Ag Os
3 1 1
Cartesian
0.0000 0.0000 2.5076 Sc
0.0000 2.5076 0.0000 Sc
2.5076 0.0000 0.0000 Sc
2.5076 2.5076 2.5076 Ag
0.0000 0.0000 0.0000 Os
```

Computed properties:
**Calculated formation energy**: 0.037 eV/atom
**E_tot**: -6.5785 eV per atom
**ΔE to the lowest computed polymorph**: 0.000 eV per atom